Below is an optimized crystal structure of ZrTlCoNi, with properties calculated at the PBE level.

POSCAR file:
```
ZrTlCoNi
1.0
0.960 -3.904 2.136
-2.594 -1.392 3.472
-2.736 -3.603 -0.505
Tl Ni Co Zr
1 1 1 1
Direct
0.000 0.000 0.000 Tl
0.500 0.500 0.500 Ni
0.750 0.750 0.750 Co
0.250 0.250 0.250 Zr
```

Below is an optimized crystal structure of KCdPO, with properties calculated at the PBE level.

POSCAR file:
```
KCdPO
1.0
-1.296 4.068 -0.280
-7.077 -2.309 -0.793
-0.603 0.149 4.950
K O P Cd
2 2 2 2
Direct
0.000 0.366 0.502 K
0.000 0.634 0.002 K
0.500 0.501 0.752 O
0.500 0.499 0.252 O
0.000 0.950 0.498 P
0.000 0.050 0.998 P
0.500 0.750 0.502 Cd
0.500 0.250 0.002 Cd
```

| no. | uncorrected energy (eV per atom) |
| --- | --- |
| 1 | -5.670 |
| 2 | -3.539 |